No. 1
! Hf2Al2Ga PBE relaxed; values from VASP
! Energy above the lowest structure with this stoichiometry, meV per atom: 22.9
! Spin magnetization, Bohr magnetons per cell: 0.0
&SYSTEM
  ibrav = 0, nat = 10, ntyp = 3
/
ATOMIC_SPECIES
Hf 178.49 Hf.upf
Al 26.98 Al.upf
Ga 69.72 Ga.upf
ATOMIC_POSITIONS angstrom
Hf 0.000 4.540 0.239
Hf 2.010 1.835 4.570
Hf 0.000 4.613 3.638
Hf 2.010 1.762 7.970
Al 0.000 3.153 6.368
Al 2.010 4.616 5.586
Al 0.000 1.838 2.623
Al 2.010 0.375 1.841
Ga 0.000 0.493 6.338
Ga 2.010 3.271 1.870
CELL_PARAMETERS angstrom
4.020 0.000 0.000
0.000 5.556 0.000
-2.010 0.000 8.209


No. 2
! Cs2K6Pb PBE relaxed; values from VASP
! Uncorrected energy, eV/atom: -1.342
! Spin magnetization, Bohr magnetons per cell: 0.0
&SYSTEM
  ibrav = 0, nat = 9, ntyp = 3
/
ATOMIC_SPECIES
Cs 132.91 Cs.upf
K 39.10 K.upf
Pb 207.20 Pb.upf
ATOMIC_POSITIONS angstrom
Cs 4.403 -3.479 2.078
Cs 3.616 3.298 3.443
K 0.704 -0.604 3.402
K 6.242 4.353 -0.519
K 7.018 -2.334 -1.866
K 7.315 0.422 2.120
K 9.822 1.496 -1.766
K 3.438 0.524 -0.618
Pb 0.000 0.000 0.000
CELL_PARAMETERS angstrom
-5.242 -2.201 7.906
7.417 -5.768 -2.557
5.843 7.787 0.173


No. 3
! Sr3HfMo PBE relaxed; values from VASP
! Energy above the lowest structure with this stoichiometry, meV per atom: 673.7
! Spin magnetization, Bohr magnetons per cell: 0.0
&SYSTEM
  ibrav = 0, nat = 5, ntyp = 3
/
ATOMIC_SPECIES
Sr 87.62 Sr.upf
Mo 95.94 Mo.upf
Hf 178.49 Hf.upf
ATOMIC_POSITIONS angstrom
Sr -0.634 -1.063 -2.672
Sr 1.330 -2.535 0.692
Sr -2.550 -1.057 1.026
Mo -1.855 -4.655 -0.954
Hf 0.000 0.000 0.000
CELL_PARAMETERS angstrom
-5.100 -2.115 2.051
-1.268 -2.125 -5.345
2.659 -5.070 1.385


No. 4
! Ac4CoSe2S PBE relaxed; values from VASP
! Raw formation energy, eV per atom: -1.385
! Spin magnetization, Bohr magnetons per cell: 0.0
&SYSTEM
  ibrav = 0, nat = 8, ntyp = 4
/
ATOMIC_SPECIES
Ac 227.00 Ac.upf
Co 58.93 Co.upf
Se 78.96 Se.upf
S 32.06 S.upf
ATOMIC_POSITIONS angstrom
Ac -0.195 2.971 0.724
Ac -0.175 5.461 4.680
Ac 2.999 2.657 4.184
Ac -3.340 2.169 3.489
Co -3.244 2.899 0.649
Se 3.044 3.120 0.918
Se -0.170 2.413 3.836
S 0.000 0.000 0.000
CELL_PARAMETERS angstrom
-0.030 3.606 -2.269
-6.458 2.193 3.568
6.118 2.634 4.105


No. 5
! DyCo3P2 PBE relaxed; values from VASP
! Energy above the lowest structure with this stoichiometry, meV per atom: 20.2
! Spin magnetization, Bohr magnetons per cell: 0.0
&SYSTEM
  ibrav = 0, nat = 18, ntyp = 3
/
ATOMIC_SPECIES
Dy 162.50 Dy.upf
Co 58.93 Co.upf
P 30.97 P.upf
ATOMIC_POSITIONS angstrom
Dy 0.000 2.273 5.643
Dy 1.826 4.910 1.183
Dy 0.000 0.000 0.000
Co 0.000 0.694 2.844
Co 1.826 6.488 3.983
Co 0.000 3.123 2.600
Co 1.826 4.059 4.226
Co 1.826 1.815 1.346
Co 0.000 5.368 5.480
Co 1.826 0.051 4.543
Co 0.000 4.567 -1.152
Co 1.826 2.616 7.978
P 0.000 2.821 0.299
P 1.826 4.362 6.527
P 0.000 6.630 -0.082
P 1.826 0.553 6.908
P 0.000 5.153 3.331
P 1.826 2.030 3.496
CELL_PARAMETERS angstrom
3.652 0.000 0.000
-1.826 7.080 -2.261
0.000 0.103 9.087


No. 6
! Na5B2S5 PBE relaxed; values from VASP
! Raw formation energy, eV per atom: -0.545
! Spin magnetization, Bohr magnetons per cell: 0.0
&SYSTEM
  ibrav = 0, nat = 12, ntyp = 3
/
ATOMIC_SPECIES
Na 22.99 Na.upf
B 10.81 B.upf
S 32.06 S.upf
ATOMIC_POSITIONS angstrom
Na 1.656 1.934 4.597
Na 0.699 -1.932 1.682
Na 3.020 -1.586 3.339
Na 4.730 1.254 3.706
Na 7.051 1.600 5.363
B 4.213 4.089 5.083
B 3.537 -4.422 1.961
S 2.480 0.862 2.065
S 3.951 2.337 6.272
S 3.799 -2.670 0.772
S 5.271 -1.194 4.979
S 0.000 0.000 0.000
CELL_PARAMETERS angstrom
-1.716 -1.647 2.747
4.439 -4.201 -2.149
5.027 5.516 6.446